Entry from the Alexandria database: a relaxed structure of Tm2ThCd2In2 (PBE).

Cell lengths 4.9973, 4.9973, 25.8244 Å; angles 90.00, 90.00, 120.00 degrees
Space group R-3m (No. 166, hexagonal axes)
Inequivalent atoms, fractional coordinates:
Tm 0.0000 0.0000 0.1327
Th 0.0000 0.0000 0.0000
Cd 0.0000 0.0000 0.4252
In 0.0000 0.0000 0.2650

**Energy relative to the elements**: -0.160 eV/atom
**Total DFT energy (no corrections)**: -3.541 eV/atom
**Calculated volume**: 186.2 Å³/f.u.

=====

Entry from the Alexandria database: a relaxed structure of TmThCdIn (PBE).

Cell lengths 7.581, 7.581, 7.581 Å; angles 90.00, 90.00, 90.00 degrees
Space group F-43m (No. 216)
Inequivalent atoms, fractional coordinates:
Tm 0.000 0.000 0.000
Th 0.000 0.000 0.500
Cd 0.250 0.250 0.750
In 0.250 0.250 0.250

**Energy relative to the elements**: -0.257 eV/atom
**Total DFT energy (no corrections)**: -4.143 eV/atom
**Calculated volume**: 108.9 Å³/f.u.

=====

Entry from the Alexandria database: a relaxed structure of ThZnCdIn (PBE).

Cell lengths 7.285, 7.285, 7.285 Å; angles 90.00, 90.00, 90.00 degrees
Space group F-43m (No. 216)
Inequivalent atoms, fractional coordinates:
Th 0.000 0.000 0.000
Zn 0.250 0.250 0.250
Cd 0.000 0.000 0.500
In 0.250 0.250 0.750

**Energy relative to the elements**: -0.077 eV/atom
**Total DFT energy (no corrections)**: -3.164 eV/atom
**Calculated volume**: 96.7 Å³/f.u.

=====

Entry from the Alexandria database: a relaxed structure of Ti4CdIn2 (PBE).

Cell lengths 4.838, 4.838, 14.567 Å; angles 90.00, 90.00, 90.00 degrees
Space group I4/mmm (No. 139)
Inequivalent atoms, fractional coordinates:
Ti 0.000 0.000 0.181
Ti 0.000 0.500 0.000
Cd 0.000 0.000 0.000
In 0.000 0.000 0.374

**Energy relative to the elements**: 0.835 eV/atom
**Total DFT energy (no corrections)**: -4.589 eV/atom
**Calculated volume**: 170.5 Å³/f.u.

=====

Entry from the Alexandria database: a relaxed structure of TiCd2In (PBE).

Cell lengths 7.924, 7.924, 5.860 Å; angles 90.00, 90.00, 90.00 degrees
Space group I-42d (No. 122)
Inequivalent atoms, fractional coordinates:
Ti 0.000 0.000 0.000
Cd 0.247 0.250 0.125
In 0.000 0.000 0.500

**Energy relative to the elements**: 0.292 eV/atom
**Total DFT energy (no corrections)**: -2.824 eV/atom
**Calculated volume**: 92.0 Å³/f.u.

=====

Entry from the Alexandria database: a relaxed structure of Ti2Cd2In (PBE).

Cell lengths 7.809, 7.809, 3.304 Å; angles 90.00, 90.00, 90.00 degrees
Space group P4/mbm (No. 127)
Inequivalent atoms, fractional coordinates:
Ti 0.173 0.327 0.000
Cd 0.126 0.626 0.500
In 0.000 0.000 0.500

**Energy relative to the elements**: 0.167 eV/atom
**Total DFT energy (no corrections)**: -3.905 eV/atom
**Offset from the most stable computed form**: 0.00 eV/f.u.
**Calculated volume**: 100.8 Å³/f.u.

=====

Entry from the Alexandria database: a relaxed structure of Ti2Cd2In (PBE).

Cell lengths 5.151, 8.081, 5.351 Å; angles 90.00, 90.00, 90.00 degrees
Space group Cmmm (No. 65)
Inequivalent atoms, fractional coordinates:
Ti 0.000 0.000 0.247
Cd 0.000 0.325 0.000
In 0.000 0.500 0.500

**Energy relative to the elements**: 0.284 eV/atom
**Total DFT energy (no corrections)**: -3.788 eV/atom
**Offset from the most stable computed form**: 0.59 eV/f.u.
**Calculated volume**: 111.4 Å³/f.u.

=====

Entry from the Alexandria database: a relaxed structure of Ti5CdIn2 (PBE).

Cell lengths 4.145, 4.145, 17.314 Å; angles 90.00, 90.00, 90.00 degrees
Space group I4/mmm (No. 139)
Inequivalent atoms, fractional coordinates:
Ti 0.000 0.000 0.000
Ti 0.000 0.500 0.120
Cd 0.000 0.000 0.500
In 0.000 0.000 0.250

**Energy relative to the elements**: -0.047 eV/atom
**Total DFT energy (no corrections)**: -5.780 eV/atom
**Calculated volume**: 148.7 Å³/f.u.